Entry 1:
Ga2CoSbS | GGA-PBEsol | optimized geometry

## Properties
Electronic total energy = -3.79 eV per atom
D(E_F) = 4.908 states/eV/cell
V = 21.77 A^3/atom

Structure (CIF):
```
data_Ga2CoSbS
_chemical_formula_sum 'Ga2 Co1 Sb1 S1'
_space_group_name_H-M_alt 'P 4/m m m'
_space_group_IT_number 123
_space_group_name_Hall '-P 4 2'
_cell_length_a 4.6072
_cell_length_b 4.6072
_cell_length_c 5.1286
_cell_angle_alpha 90.00
_cell_angle_beta 90.00
_cell_angle_gamma 90.00
loop_
_atom_site_label
_atom_site_type_symbol
_atom_site_fract_x
_atom_site_fract_y
_atom_site_fract_z
Ga1 Ga 0.0000 0.5000 0.0000
Co1 Co 0.0000 0.0000 0.5000
Sb1 Sb 0.5000 0.5000 0.5000
S1 S 0.5000 0.5000 0.0000
```

---

Entry 2:
ReAsAu2 | GGA-PBEsol | optimized geometry

## Properties
Formation energy from the elements = 0.49 eV/atom
D(E_F) = 3.766 states/eV/cell
V = 16.28 A^3/atom

Structure (CIF):
```
data_ReAsAu2
_chemical_formula_sum 'Re2 As2 Au4'
_space_group_name_H-M_alt 'C m m m'
_space_group_IT_number 65
_space_group_name_Hall '-C 2 2'
_cell_length_a 5.5519
_cell_length_b 8.7033
_cell_length_c 2.6952
_cell_angle_alpha 90.00
_cell_angle_beta 90.00
_cell_angle_gamma 90.00
loop_
_atom_site_label
_atom_site_type_symbol
_atom_site_fract_x
_atom_site_fract_y
_atom_site_fract_z
Re1 Re 0.0000 0.0000 0.0000
As1 As 0.0000 0.5000 0.0000
Au1 Au 0.2500 0.2500 0.5000
```

---

Entry 3:
K2ScRu | GGA-PBEsol | optimized geometry

## Properties
Relative energy among the computed polymorphs = 0.648 eV per atom
Formation energy from the elements = 0.99 eV/atom
D(E_F) = 13.117 states/eV/cell
V = 23.53 A^3/atom

Structure (CIF):
```
data_K2ScRu
_chemical_formula_sum 'K8 Sc4 Ru4'
_space_group_name_H-M_alt 'F -4 3 m'
_space_group_IT_number 216
_space_group_name_Hall 'F -4 2 3'
_cell_length_a 7.2207
_cell_length_b 7.2207
_cell_length_c 7.2207
_cell_angle_alpha 90.00
_cell_angle_beta 90.00
_cell_angle_gamma 90.00
loop_
_atom_site_label
_atom_site_type_symbol
_atom_site_fract_x
_atom_site_fract_y
_atom_site_fract_z
K1 K 0.0000 0.0000 0.0000
K2 K 0.2500 0.2500 0.2500
Sc1 Sc 0.2500 0.2500 0.7500
Ru1 Ru 0.0000 0.0000 0.5000
```

---

Entry 4:
Ba3HgF | GGA-PBEsol | optimized geometry

## Properties
Electronic total energy = -2.33 eV per atom
D(E_F) = 3.481 states/eV/cell
V = 54.24 A^3/atom

Structure (CIF):
```
data_Ba3HgF
_chemical_formula_sum 'Ba3 Hg1 F1'
_space_group_name_H-M_alt 'P m -3 m'
_space_group_IT_number 221
_space_group_name_Hall '-P 4 2 3'
_cell_length_a 6.4727
_cell_length_b 6.4727
_cell_length_c 6.4727
_cell_angle_alpha 90.00
_cell_angle_beta 90.00
_cell_angle_gamma 90.00
loop_
_atom_site_label
_atom_site_type_symbol
_atom_site_fract_x
_atom_site_fract_y
_atom_site_fract_z
Ba1 Ba 0.0000 0.0000 0.5000
Hg1 Hg 0.0000 0.0000 0.0000
F1 F 0.5000 0.5000 0.5000
```

---

Entry 5:
LaSb2Te2 | GGA-PBEsol | optimized geometry

## Properties
Relative energy among the computed polymorphs = 0.224 eV per atom
D(E_F) = 4.636 states/eV/cell
V = 34.81 A^3/atom

Structure (CIF):
```
data_LaSb2Te2
_chemical_formula_sum 'La2 Sb4 Te4'
_space_group_name_H-M_alt 'I 4/m m m'
_space_group_IT_number 139
_space_group_name_Hall '-I 4 2'
_cell_length_a 4.2276
_cell_length_b 4.2276
_cell_length_c 19.4751
_cell_angle_alpha 90.00
_cell_angle_beta 90.00
_cell_angle_gamma 90.00
loop_
_atom_site_label
_atom_site_type_symbol
_atom_site_fract_x
_atom_site_fract_y
_atom_site_fract_z
La1 La 0.0000 0.0000 0.0000
Sb1 Sb 0.0000 0.0000 0.4275
Te1 Te 0.0000 0.5000 0.2500
```

---

Entry 6:
Zr5AgPb3 | GGA-PBEsol | optimized geometry

## Properties
Formation energy from the elements = -0.32 eV/atom
D(E_F) = 14.832 states/eV/cell
V = 21.67 A^3/atom

Structure (CIF):
```
data_Zr5AgPb3
_chemical_formula_sum 'Zr10 Ag2 Pb6'
_space_group_name_H-M_alt 'P 63/m c m'
_space_group_IT_number 193
_space_group_name_Hall '-P 6c 2'
_cell_length_a 8.7391
_cell_length_b 8.7391
_cell_length_c 5.8970
_cell_angle_alpha 90.00
_cell_angle_beta 90.00
_cell_angle_gamma 120.00
loop_
_atom_site_label
_atom_site_type_symbol
_atom_site_fract_x
_atom_site_fract_y
_atom_site_fract_z
Zr1 Zr 0.0000 0.2793 0.2500
Zr2 Zr 0.3333 0.6667 0.0000
Ag1 Ag 0.0000 0.0000 0.0000
Pb1 Pb 0.0000 0.3782 0.7500
```

---

Entry 7:
ZrC3 | GGA-PBEsol | optimized geometry

## Properties
Relative energy among the computed polymorphs = 0.894 eV per atom
Formation energy from the elements = 1.38 eV/atom
D(E_F) = 1.224 states/eV/cell
V = 9.46 A^3/atom

Structure (CIF):
```
data_ZrC3
_chemical_formula_sum 'Zr1 C3'
_space_group_name_H-M_alt 'P 4/m m m'
_space_group_IT_number 123
_space_group_name_Hall '-P 4 2'
_cell_length_a 2.9151
_cell_length_b 2.9151
_cell_length_c 4.4514
_cell_angle_alpha 90.00
_cell_angle_beta 90.00
_cell_angle_gamma 90.00
loop_
_atom_site_label
_atom_site_type_symbol
_atom_site_fract_x
_atom_site_fract_y
_atom_site_fract_z
Zr1 Zr 0.0000 0.0000 0.0000
C1 C 0.0000 0.0000 0.5000
C2 C 0.5000 0.5000 0.3396
```

---

Entry 8:
Ca2ZrF2 | GGA-PBEsol | optimized geometry

## Properties
Electronic total energy = -5.42 eV per atom
D(E_F) = 5.651 states/eV/cell
V = 21.15 A^3/atom

Structure (CIF):
```
data_Ca2ZrF2
_chemical_formula_sum 'Ca4 Zr2 F4'
_space_group_name_H-M_alt 'I 4/m m m'
_space_group_IT_number 139
_space_group_name_Hall '-I 4 2'
_cell_length_a 3.5741
_cell_length_b 3.5741
_cell_length_c 16.5560
_cell_angle_alpha 90.00
_cell_angle_beta 90.00
_cell_angle_gamma 90.00
loop_
_atom_site_label
_atom_site_type_symbol
_atom_site_fract_x
_atom_site_fract_y
_atom_site_fract_z
Ca1 Ca 0.0000 0.0000 0.1649
Zr1 Zr 0.0000 0.0000 0.5000
F1 F 0.0000 0.5000 0.2500
```

---

Entry 9:
AsRu2Au | GGA-PBEsol | optimized geometry

## Properties
Formation energy from the elements = 0.28 eV/atom
D(E_F) = 3.888 states/eV/cell
V = 14.57 A^3/atom

Structure (CIF):
```
data_AsRu2Au
_chemical_formula_sum 'As1 Ru2 Au1'
_space_group_name_H-M_alt 'P 4/m m m'
_space_group_IT_number 123
_space_group_name_Hall '-P 4 2'
_cell_length_a 4.3514
_cell_length_b 4.3514
_cell_length_c 3.0769
_cell_angle_alpha 90.00
_cell_angle_beta 90.00
_cell_angle_gamma 90.00
loop_
_atom_site_label
_atom_site_type_symbol
_atom_site_fract_x
_atom_site_fract_y
_atom_site_fract_z
As1 As 0.0000 0.0000 0.0000
Ru1 Ru 0.0000 0.5000 0.5000
Au1 Au 0.5000 0.5000 0.0000
```

---

Entry 10:
NaTi2OsW | GGA-PBEsol | optimized geometry

## Properties
Formation energy from the elements = 2.13 eV/atom
D(E_F) = 7.254 states/eV/cell
V = 16.31 A^3/atom

Structure (CIF):
```
data_NaTi2OsW
_chemical_formula_sum 'Na1 Ti2 Os1 W1'
_space_group_name_H-M_alt 'P 4/m m m'
_space_group_IT_number 123
_space_group_name_Hall '-P 4 2'
_cell_length_a 4.2033
_cell_length_b 4.2033
_cell_length_c 4.6164
_cell_angle_alpha 90.00
_cell_angle_beta 90.00
_cell_angle_gamma 90.00
loop_
_atom_site_label
_atom_site_type_symbol
_atom_site_fract_x
_atom_site_fract_y
_atom_site_fract_z
Na1 Na 0.0000 0.0000 0.0000
Ti1 Ti 0.0000 0.5000 0.0000
Os1 Os 0.0000 0.0000 0.5000
W1 W 0.5000 0.5000 0.5000
```

---

Entry 11:
Fe2Cu3Sn6Se16 | GGA-PBEsol | optimized geometry

## Properties
Electronic total energy = -4.68 eV per atom
D(E_F) = 18.144 states/eV/cell
V = 22.74 A^3/atom

Structure (CIF):
```
data_Fe2Cu3Sn6Se16
_chemical_formula_sum 'Fe2 Cu3 Sn6 Se16'
_space_group_name_H-M_alt 'P 1 m 1'
_space_group_IT_number 6
_space_group_name_Hall 'P -2y'
_cell_length_a 7.5668
_cell_length_b 7.5658
_cell_length_c 10.7232
_cell_angle_alpha 90.00
_cell_angle_beta 90.27
_cell_angle_gamma 90.00
loop_
_atom_site_label
_atom_site_type_symbol
_atom_site_fract_x
_atom_site_fract_y
_atom_site_fract_z
Fe1 Fe 0.0000 0.0000 0.0000
Fe2 Fe 0.4870 0.5000 0.5075
Cu1 Cu 0.2374 0.0000 0.6233
Cu2 Cu 0.2558 0.5000 0.8869
Cu3 Cu 0.7548 0.0000 0.3827
Sn1 Sn 0.2397 0.2595 0.2544
Sn2 Sn 0.5112 0.0000 0.0100
Sn3 Sn 0.7476 0.2504 0.7584
Sn4 Sn 0.9867 0.5000 0.4953
Se1 Se 0.0024 0.0000 0.7748
Se2 Se 0.0050 0.5000 0.7531
Se3 Se 0.2306 0.2280 0.0031
Se4 Se 0.2629 0.2719 0.5070
Se5 Se 0.4896 0.0000 0.7542
Se6 Se 0.4929 0.5000 0.7348
Se7 Se 0.4942 0.0000 0.2610
Se8 Se 0.4962 0.5000 0.2864
Se9 Se 0.7150 0.2699 0.5056
Se10 Se 0.7841 0.2272 0.0065
Se11 Se 0.9732 0.5000 0.2437
Se12 Se 0.9936 0.0000 0.2307
```

---

Entry 12:
KMgSeN2 | GGA-PBEsol | optimized geometry

## Properties
Relative energy among the computed polymorphs = 0.958 eV per atom
D(E_F) = 1.816 states/eV/cell
V = 25.95 A^3/atom

Structure (CIF):
```
data_KMgSeN2
_chemical_formula_sum 'K1 Mg1 Se1 N2'
_space_group_name_H-M_alt 'P 4/m m m'
_space_group_IT_number 123
_space_group_name_Hall '-P 4 2'
_cell_length_a 4.6300
_cell_length_b 4.6300
_cell_length_c 6.0527
_cell_angle_alpha 90.00
_cell_angle_beta 90.00
_cell_angle_gamma 90.00
loop_
_atom_site_label
_atom_site_type_symbol
_atom_site_fract_x
_atom_site_fract_y
_atom_site_fract_z
K1 K 0.0000 0.0000 0.0000
Mg1 Mg 0.5000 0.5000 0.5000
Se1 Se 0.0000 0.0000 0.5000
N1 N 0.0000 0.5000 0.0000
```

---

Entry 13:
Li2GaAg | GGA-PBEsol | optimized geometry

## Properties
Formation energy from the elements = -0.31 eV/atom
D(E_F) = 4.345 states/eV/cell
V = 14.80 A^3/atom

Structure (CIF):
```
data_Li2GaAg
_chemical_formula_sum 'Li8 Ga4 Ag4'
_space_group_name_H-M_alt 'F -4 3 m'
_space_group_IT_number 216
_space_group_name_Hall 'F -4 2 3'
_cell_length_a 6.1870
_cell_length_b 6.1870
_cell_length_c 6.1870
_cell_angle_alpha 90.00
_cell_angle_beta 90.00
_cell_angle_gamma 90.00
loop_
_atom_site_label
_atom_site_type_symbol
_atom_site_fract_x
_atom_site_fract_y
_atom_site_fract_z
Li1 Li 0.0000 0.0000 0.0000
Li2 Li 0.2500 0.2500 0.2500
Ga1 Ga 0.2500 0.2500 0.7500
Ag1 Ag 0.0000 0.0000 0.5000
```

---

Entry 14:
Mo3OsC | GGA-PBEsol | optimized geometry

## Properties
Formation energy from the elements = 0.10 eV/atom
D(E_F) = 3.833 states/eV/cell
V = 13.47 A^3/atom

Structure (CIF):
```
data_Mo3OsC
_chemical_formula_sum 'Mo3 Os1 C1'
_space_group_name_H-M_alt 'P m -3 m'
_space_group_IT_number 221
_space_group_name_Hall '-P 4 2 3'
_cell_length_a 4.0689
_cell_length_b 4.0689
_cell_length_c 4.0689
_cell_angle_alpha 90.00
_cell_angle_beta 90.00
_cell_angle_gamma 90.00
loop_
_atom_site_label
_atom_site_type_symbol
_atom_site_fract_x
_atom_site_fract_y
_atom_site_fract_z
Mo1 Mo 0.0000 0.0000 0.5000
Os1 Os 0.5000 0.5000 0.5000
C1 C 0.0000 0.0000 0.0000
```

---

Entry 15:
SrTlGe3 | GGA-PBEsol | optimized geometry

## Properties
Formation energy from the elements = 1.03 eV/atom
D(E_F) = 5.981 states/eV/cell
V = 34.16 A^3/atom

Structure (CIF):
```
data_SrTlGe3
_chemical_formula_sum 'Sr1 Tl1 Ge3'
_space_group_name_H-M_alt 'P m -3 m'
_space_group_IT_number 221
_space_group_name_Hall '-P 4 2 3'
_cell_length_a 5.5482
_cell_length_b 5.5482
_cell_length_c 5.5482
_cell_angle_alpha 90.00
_cell_angle_beta 90.00
_cell_angle_gamma 90.00
loop_
_atom_site_label
_atom_site_type_symbol
_atom_site_fract_x
_atom_site_fract_y
_atom_site_fract_z
Sr1 Sr 0.0000 0.0000 0.0000
Tl1 Tl 0.5000 0.5000 0.5000
Ge1 Ge 0.0000 0.0000 0.5000
```

---

Entry 16:
K2NaTaAu | GGA-PBEsol | optimized geometry

## Properties
Formation energy from the elements = 0.89 eV/atom
D(E_F) = 6.640 states/eV/cell
V = 39.30 A^3/atom

Structure (CIF):
```
data_K2NaTaAu
_chemical_formula_sum 'K2 Na1 Ta1 Au1'
_space_group_name_H-M_alt 'P 4/m m m'
_space_group_IT_number 123
_space_group_name_Hall '-P 4 2'
_cell_length_a 6.1901
_cell_length_b 6.1901
_cell_length_c 5.1287
_cell_angle_alpha 90.00
_cell_angle_beta 90.00
_cell_angle_gamma 90.00
loop_
_atom_site_label
_atom_site_type_symbol
_atom_site_fract_x
_atom_site_fract_y
_atom_site_fract_z
K1 K 0.0000 0.5000 0.0000
Na1 Na 0.0000 0.0000 0.5000
Ta1 Ta 0.5000 0.5000 0.5000
Au1 Au 0.5000 0.5000 0.0000
```

---

Entry 17:
LaMgCl | GGA-PBEsol | optimized geometry

## Properties
Electronic total energy = -3.90 eV per atom
D(E_F) = 2.173 states/eV/cell
V = 25.67 A^3/atom

Structure (CIF):
```
data_LaMgCl
_chemical_formula_sum 'La1 Mg1 Cl1'
_space_group_name_H-M_alt 'P 3 m 1'
_space_group_IT_number 156
_space_group_name_Hall 'P 3 -2"'
_cell_length_a 3.5335
_cell_length_b 3.5335
_cell_length_c 7.1218
_cell_angle_alpha 90.00
_cell_angle_beta 90.00
_cell_angle_gamma 120.00
loop_
_atom_site_label
_atom_site_type_symbol
_atom_site_fract_x
_atom_site_fract_y
_atom_site_fract_z
La1 La 0.0000 0.0000 0.0000
Mg1 Mg 0.3333 0.6667 0.6076
Cl1 Cl 0.6667 0.3333 0.3130
```

---

Entry 18:
CrRh4 | GGA-PBEsol | optimized geometry

## Properties
Relative energy among the computed polymorphs = 0.902 eV per atom
Formation energy from the elements = 0.85 eV/atom
D(E_F) = 16.832 states/eV/cell
V = 15.69 A^3/atom

Structure (CIF):
```
data_CrRh4
_chemical_formula_sum 'Cr2 Rh8'
_space_group_name_H-M_alt 'I m -3 m'
_space_group_IT_number 229
_space_group_name_Hall '-I 4 2 3'
_cell_length_a 5.3931
_cell_length_b 5.3931
_cell_length_c 5.3931
_cell_angle_alpha 90.00
_cell_angle_beta 90.00
_cell_angle_gamma 90.00
loop_
_atom_site_label
_atom_site_type_symbol
_atom_site_fract_x
_atom_site_fract_y
_atom_site_fract_z
Cr1 Cr 0.0000 0.0000 0.0000
Rh1 Rh 0.2500 0.2500 0.2500
```

---

Entry 19:
PtCl3 | GGA-PBEsol | optimized geometry

## Properties
Electronic total energy = -3.60 eV per atom
D(E_F) = 1.997 states/eV/cell
V = 22.00 A^3/atom

Structure (CIF):
```
data_PtCl3
_chemical_formula_sum 'Pt2 Cl6'
_space_group_name_H-M_alt 'P m m n'
_space_group_IT_number 59
_cell_length_a 4.9534
_cell_length_b 10.1966
_cell_length_c 3.4844
_cell_angle_alpha 90.00
_cell_angle_beta 90.00
_cell_angle_gamma 90.00
loop_
_space_group_symop_operation_xyz
'x,y,z'
'-x,-y,-z'
'-x+1/2,-y+1/2,z'
'x+1/2,y+1/2,-z'
'x+1/2,-y,-z'
'-x+1/2,y,z'
'-x,y+1/2,-z'
'x,-y+1/2,z'
loop_
_atom_site_label
_atom_site_type_symbol
_atom_site_fract_x
_atom_site_fract_y
_atom_site_fract_z
Pt1 Pt 0.2500 0.2500 0.2475
Cl1 Cl 0.2500 0.0972 0.7476
Cl2 Cl 0.2500 0.7500 0.7527
```

---

Entry 20:
Y2ZrHg | GGA-PBEsol | optimized geometry

## Properties
Formation energy from the elements = -0.25 eV/atom
D(E_F) = 3.833 states/eV/cell
V = 25.16 A^3/atom

Structure (CIF):
```
data_Y2ZrHg
_chemical_formula_sum 'Y2 Zr1 Hg1'
_space_group_name_H-M_alt 'P 4/m m m'
_space_group_IT_number 123
_space_group_name_Hall '-P 4 2'
_cell_length_a 3.4260
_cell_length_b 3.4260
_cell_length_c 8.5744
_cell_angle_alpha 90.00
_cell_angle_beta 90.00
_cell_angle_gamma 90.00
loop_
_atom_site_label
_atom_site_type_symbol
_atom_site_fract_x
_atom_site_fract_y
_atom_site_fract_z
Y1 Y 0.0000 0.0000 0.2391
Zr1 Zr 0.5000 0.5000 0.5000
Hg1 Hg 0.5000 0.5000 0.0000
```